No. 1
Ga2Ir2Ru PBE optimized geometry; total magnetization = 1.9 μB/f.u.; space-group type = P4/mbm (127); ΔH_f (0 K) = 0.0019 eV/atom; total energy = -6.608 eV per atom
1.0
7.261 0.000 0.000
0.000 7.261 0.000
0.000 0.000 2.878
Ga Ir Ru
4 4 2
direct
0.164 0.336 0.000
0.336 0.836 0.000
0.664 0.164 0.000
0.836 0.664 0.000
0.136 0.636 0.500
0.364 0.136 0.500
0.636 0.864 0.500
0.864 0.364 0.500
0.000 0.000 0.500
0.500 0.500 0.500

---

No. 2
GaIrRu2 PBE optimized geometry; total magnetization = 0.0 μB/f.u.; space-group type = I-42d (122); ΔH_f (0 K) = 0.9743 eV/atom; total energy = -6.636 eV per atom
1.0
5.584 0.000 0.000
0.000 5.584 0.000
0.000 0.000 11.006
Ga Ir Ru
4 4 8
direct
0.000 0.000 0.000
0.000 0.500 0.250
0.500 0.000 0.750
0.500 0.500 0.500
0.000 0.000 0.500
0.000 0.500 0.750
0.500 0.000 0.250
0.500 0.500 0.000
0.239 0.250 0.625
0.250 0.739 0.875
0.250 0.761 0.375
0.261 0.250 0.125
0.739 0.750 0.125
0.750 0.239 0.375
0.750 0.261 0.875
0.761 0.750 0.625

---

No. 3
GaIr2Ru PBE optimized geometry; total magnetization = 0.0 μB/f.u.; space-group type = P4/mmm (123); ΔH_f (0 K) = -0.1398 eV/atom; total energy = -7.646 eV per atom
1.0
2.777 0.000 0.000
0.000 2.777 0.000
0.000 0.000 7.452
Ga Ir Ru
1 2 1
direct
0.000 0.000 0.000
0.500 0.500 0.251
0.500 0.500 0.749
0.000 0.000 0.500

---

No. 4
GaIrRu3 PBE optimized geometry; total magnetization = 0.0 μB/f.u.; space-group type = Pm-3m (221); ΔH_f (0 K) = 1.5670 eV/atom; total energy = -6.376 eV per atom
1.0
4.431 0.000 0.000
0.000 4.431 0.000
0.000 0.000 4.431
Ga Ir Ru
1 1 3
direct
0.000 0.000 0.000
0.500 0.500 0.500
0.000 0.000 0.500
0.000 0.500 0.000
0.500 0.000 0.000

---

No. 5
Ga2Ir2Ru PBE optimized geometry; total magnetization = 0.0 μB/f.u.; space-group type = P4/mbm (127); ΔH_f (0 K) = -0.0817 eV/atom; total energy = -6.692 eV per atom
1.0
7.231 0.000 0.000
0.000 7.231 0.000
0.000 0.000 2.846
Ga Ir Ru
4 4 2
direct
0.136 0.364 0.000
0.364 0.864 0.000
0.636 0.136 0.000
0.864 0.636 0.000
0.164 0.664 0.500
0.336 0.164 0.500
0.664 0.836 0.500
0.836 0.336 0.500
0.000 0.000 0.000
0.500 0.500 0.000

---

No. 6
GaIr2Ru PBE optimized geometry; total magnetization = 0.0 μB/f.u.; space-group type = I-42d (122); ΔH_f (0 K) = 0.7966 eV/atom; total energy = -6.710 eV per atom
1.0
5.499 0.000 0.000
0.000 5.499 0.000
0.000 0.000 11.561
Ga Ir Ru
4 8 4
direct
0.000 0.000 0.000
0.000 0.500 0.250
0.500 0.000 0.750
0.500 0.500 0.500
0.237 0.250 0.625
0.250 0.737 0.875
0.250 0.763 0.375
0.263 0.250 0.125
0.737 0.750 0.125
0.750 0.237 0.375
0.750 0.263 0.875
0.763 0.750 0.625
0.000 0.000 0.500
0.000 0.500 0.750
0.500 0.000 0.250
0.500 0.500 0.000

---

No. 7
GaIr2Ru PBE optimized geometry; total magnetization = 0.0 μB/f.u.; space-group type = R-3m (166); ΔH_f (0 K) = -0.1097 eV/atom; total energy = -7.616 eV per atom
1.0
2.770 0.000 0.000
-1.385 2.399 0.000
0.000 0.000 25.982
Ga Ir Ru
3 6 3
direct
0.000 0.000 0.000
0.333 0.667 0.667
0.667 0.333 0.333
0.000 0.000 0.251
0.000 0.000 0.749
0.333 0.667 0.415
0.333 0.667 0.918
0.667 0.333 0.082
0.667 0.333 0.585
0.000 0.000 0.500
0.333 0.667 0.167
0.667 0.333 0.833

---

No. 8
GaIr2Ru PBE optimized geometry; total magnetization = 0.0 μB/f.u.; space-group type = R3m (160); ΔH_f (0 K) = 0.1456 eV/atom; total energy = -7.361 eV per atom
1.0
4.188 0.000 0.000
-2.094 3.627 0.000
0.000 0.000 12.397
Ga Ir Ru
3 6 3
direct
0.000 0.000 0.000
0.333 0.667 0.667
0.667 0.333 0.333
0.000 0.000 0.367
0.000 0.000 0.575
0.333 0.667 0.034
0.333 0.667 0.242
0.667 0.333 0.700
0.667 0.333 0.909
0.000 0.000 0.794
0.333 0.667 0.461
0.667 0.333 0.128

---

No. 9
Ga4IrRu2 PBE optimized geometry; total magnetization = 0.0 μB/f.u.; space-group type = C2/m (12); ΔH_f (0 K) = -0.2045 eV/atom; total energy = -5.850 eV per atom
1.0
14.800 0.000 0.000
0.000 3.026 0.000
-1.871 0.000 5.047
Ga Ir Ru
8 2 4
direct
0.116 0.000 0.327
0.118 0.500 0.773
0.382 0.000 0.227
0.384 0.500 0.673
0.616 0.500 0.327
0.618 0.000 0.773
0.882 0.500 0.227
0.884 0.000 0.673
0.000 0.500 0.000
0.500 0.000 0.000
0.245 0.500 0.243
0.255 0.000 0.757
0.745 0.000 0.243
0.755 0.500 0.757

---

No. 10
Ga6Ir3Ru PBE optimized geometry; total magnetization = 0.0 μB/f.u.; space-group type = P2_1/c (14); ΔH_f (0 K) = -0.1768 eV/atom; total energy = -5.579 eV per atom
1.0
6.292 0.000 0.000
0.000 6.698 0.000
-5.710 0.000 7.765
Ga Ir Ru
12 6 2
direct
0.033 0.064 0.264
0.033 0.436 0.764
0.220 0.669 0.070
0.220 0.831 0.570
0.419 0.149 0.061
0.419 0.351 0.561
0.581 0.649 0.439
0.581 0.851 0.939
0.780 0.169 0.430
0.780 0.331 0.930
0.967 0.564 0.236
0.967 0.936 0.736
0.000 0.000 0.000
0.000 0.500 0.500
0.296 0.153 0.744
0.296 0.347 0.244
0.704 0.653 0.756
0.704 0.847 0.256
0.500 0.000 0.500
0.500 0.500 0.000

---

No. 11
GaIr6Ru PBE optimized geometry; total magnetization = 0.0 μB/f.u.; space-group type = P4/mmm (123); ΔH_f (0 K) = -0.0912 eV/atom; total energy = -8.275 eV per atom
1.0
3.867 0.000 0.000
0.000 3.867 0.000
0.000 0.000 7.751
Ga Ir Ru
1 6 1
direct
0.000 0.000 0.000
0.000 0.500 0.256
0.000 0.500 0.744
0.500 0.000 0.256
0.500 0.000 0.744
0.500 0.500 0.000
0.500 0.500 0.500
0.000 0.000 0.500

---

No. 12
Ga4Ir3Ru PBE optimized geometry; total magnetization = 0.0 μB/f.u.; space-group type = Pmmm (47); ΔH_f (0 K) = -0.4173 eV/atom; total energy = -6.413 eV per atom
1.0
3.047 0.000 0.000
0.000 4.303 0.000
0.000 0.000 8.630
Ga Ir Ru
4 3 1
direct
0.000 0.000 0.000
0.000 0.000 0.500
0.000 0.500 0.244
0.000 0.500 0.756
0.500 0.000 0.254
0.500 0.000 0.746
0.500 0.500 0.500
0.500 0.500 0.000

---

No. 13
GaIrRu3 PBE optimized geometry; total magnetization = 1.4 μB/f.u.; space-group type = Pm-3m (221); ΔH_f (0 K) = 1.6286 eV/atom; total energy = -6.315 eV per atom
1.0
4.724 0.000 0.000
0.000 4.724 0.000
0.000 0.000 4.724
Ga Ir Ru
1 1 3
direct
0.000 0.000 0.000
0.500 0.500 0.500
0.000 0.500 0.500
0.500 0.000 0.500
0.500 0.500 0.000

---

No. 14
GaIrRu2 PBE optimized geometry; total magnetization = 0.0 μB/f.u.; space-group type = R3m (160); ΔH_f (0 K) = 0.2104 eV/atom; total energy = -7.400 eV per atom
1.0
4.137 0.000 0.000
-2.068 3.582 0.000
0.000 0.000 12.689
Ga Ir Ru
3 3 6
direct
0.000 0.000 0.000
0.333 0.667 0.667
0.667 0.333 0.333
0.000 0.000 0.199
0.333 0.667 0.865
0.667 0.333 0.532
0.000 0.000 0.417
0.000 0.000 0.616
0.333 0.667 0.083
0.333 0.667 0.283
0.667 0.333 0.750
0.667 0.333 0.949

---

No. 15
GaIrRu2 PBE optimized geometry; total magnetization = 0.0 μB/f.u.; space-group type = P4/mmm (123); ΔH_f (0 K) = -0.0838 eV/atom; total energy = -7.694 eV per atom
1.0
2.795 0.000 0.000
0.000 2.795 0.000
0.000 0.000 7.236
Ga Ir Ru
1 1 2
direct
0.000 0.000 0.000
0.000 0.000 0.500
0.500 0.500 0.245
0.500 0.500 0.755

---

No. 16
Ga8Ir2Ru PBE optimized geometry; total magnetization = 0.0 μB/f.u.; space-group type = C2/m (12); ΔH_f (0 K) = -0.1920 eV/atom; total energy = -4.848 eV per atom
1.0
5.363 -4.091 0.000
5.363 4.091 0.000
-1.596 0.000 4.682
Ga Ir Ru
8 2 1
direct
0.030 0.030 0.277
0.157 0.613 0.182
0.302 0.302 0.648
0.387 0.843 0.818
0.613 0.157 0.182
0.698 0.698 0.352
0.843 0.387 0.818
0.970 0.970 0.723
0.217 0.217 0.078
0.783 0.783 0.922
0.500 0.500 0.500

---

No. 17
GaIr3Ru PBE optimized geometry; total magnetization = 5.1 μB/f.u.; space-group type = Pm-3m (221); ΔH_f (0 K) = 1.5735 eV/atom; total energy = -6.204 eV per atom
1.0
4.525 0.000 0.000
0.000 4.525 0.000
0.000 0.000 4.525
Ga Ir Ru
1 3 1
direct
0.000 0.000 0.000
0.000 0.000 0.500
0.000 0.500 0.000
0.500 0.000 0.000
0.500 0.500 0.500

---

No. 18
Sc3Ga3IrRu2 PBE optimized geometry; total magnetization = 0.0 μB/f.u.; space-group type = P-62m (189); ΔH_f (0 K) = -0.5892 eV/atom; total energy = -6.755 eV per atom
1.0
7.461 0.000 0.000
-3.730 6.461 0.000
0.000 0.000 3.117
Sc Ga Ir Ru
3 3 1 2
direct
0.000 0.292 0.000
0.292 0.000 0.000
0.708 0.708 0.000
0.000 0.627 0.500
0.373 0.373 0.500
0.627 0.000 0.500
0.000 0.000 0.500
0.333 0.667 0.000
0.667 0.333 0.000

---

No. 19
ScGaIrRu PBE optimized geometry; total magnetization = 0.0 μB/f.u.; space-group type = Pmmm (47); ΔH_f (0 K) = -0.6591 eV/atom; total energy = -7.533 eV per atom
1.0
3.205 0.000 0.000
0.000 4.343 0.000
0.000 0.000 4.374
Sc Ga Ir Ru
1 1 1 1
direct
0.000 0.000 0.000
0.000 0.500 0.500
0.500 0.000 0.500
0.500 0.500 0.000

---

No. 20
Sc2Ga5IrRu2 PBE optimized geometry; total magnetization = 0.0 μB/f.u.; space-group type = P4/mbm (127); ΔH_f (0 K) = -0.4092 eV/atom; total energy = -5.930 eV per atom
1.0
9.113 0.000 0.000
0.000 9.113 0.000
0.000 0.000 3.962
Sc Ga Ir Ru
4 10 2 4
direct
0.176 0.324 0.000
0.324 0.824 0.000
0.676 0.176 0.000
0.824 0.676 0.000
0.000 0.500 0.500
0.064 0.802 0.500
0.198 0.064 0.500
0.302 0.564 0.500
0.436 0.302 0.500
0.500 0.000 0.500
0.564 0.698 0.500
0.698 0.436 0.500
0.802 0.936 0.500
0.936 0.198 0.500
0.000 0.000 0.000
0.500 0.500 0.000
0.121 0.621 0.000
0.379 0.121 0.000
0.621 0.879 0.000
0.879 0.379 0.000